No. 1
DFT (PBE) results for a relaxed LiZnI2O crystal.

Output
* spin magnetization: 0.53 μB per cell
* Fermi-level density of states: 5.4 states/eV/cell
* relative energy among the computed polymorphs: 0 kJ/mol of formula units

Geometry as CIF:
```
data_LiZnI2O
_chemical_formula_sum 'Li1 Zn1 I2 O1'
_cell_length_a 6.0457
_cell_length_b 6.0457
_cell_length_c 3.6344
_cell_angle_alpha 90.00
_cell_angle_beta 90.00
_cell_angle_gamma 90.00
_symmetry_space_group_name_H-M 'P 4/m m m'
_symmetry_Int_Tables_number 123
_symmetry_space_group_name_Hall '-P 4 2'
loop_
_atom_site_label
_atom_site_type_symbol
_atom_site_fract_x
_atom_site_fract_y
_atom_site_fract_z
Li1 Li 0.0000 0.0000 0.0000
Zn1 Zn 0.5000 0.5000 0.5000
I1 I 0.0000 0.5000 0.5000
O1 O 0.5000 0.5000 0.0000
```

No. 2
DFT (PBE) results for a relaxed LiOsI2 crystal.

Output
* spin magnetization: 0.00 μB per cell
* Fermi-level density of states: 17.8 states/eV/cell
* relative energy among the computed polymorphs: 129 kJ/mol of formula units

Geometry as CIF:
```
data_LiOsI2
_chemical_formula_sum 'Li4 Os4 I8'
_cell_length_a 6.9635
_cell_length_b 6.9635
_cell_length_c 6.9635
_cell_angle_alpha 90.00
_cell_angle_beta 90.00
_cell_angle_gamma 90.00
_symmetry_space_group_name_H-M 'F m -3 m'
_symmetry_Int_Tables_number 225
_symmetry_space_group_name_Hall '-F 4 2 3'
loop_
_atom_site_label
_atom_site_type_symbol
_atom_site_fract_x
_atom_site_fract_y
_atom_site_fract_z
Li1 Li 0.0000 0.0000 0.0000
Os1 Os 0.0000 0.0000 0.5000
I1 I 0.2500 0.2500 0.2500
```

No. 3
DFT (PBE) results for a relaxed LiOs2I2 crystal.

Output
* spin magnetization: 0.00 μB per cell
* Fermi-level density of states: 6.4 states/eV/cell
* relative energy among the computed polymorphs: 0 kJ/mol of formula units

Geometry as CIF:
```
data_LiOs2I2
_chemical_formula_sum 'Li2 Os4 I4'
_cell_length_a 4.7987
_cell_length_b 4.7987
_cell_length_c 10.4669
_cell_angle_alpha 90.00
_cell_angle_beta 90.00
_cell_angle_gamma 90.00
_symmetry_space_group_name_H-M 'I 4/m m m'
_symmetry_Int_Tables_number 139
_symmetry_space_group_name_Hall '-I 4 2'
loop_
_atom_site_label
_atom_site_type_symbol
_atom_site_fract_x
_atom_site_fract_y
_atom_site_fract_z
Li1 Li 0.0000 0.0000 0.0000
Os1 Os 0.0000 0.0000 0.3908
I1 I 0.0000 0.5000 0.2500
```

No. 4
DFT (PBE) results for a relaxed Li2OsI crystal.

Output
* spin magnetization: 0.00 μB per cell
* Fermi-level density of states: 11.3 states/eV/cell
* relative energy among the computed polymorphs: 8 kJ/mol of formula units

Geometry as CIF:
```
data_Li2OsI
_chemical_formula_sum 'Li8 Os4 I4'
_cell_length_a 6.3433
_cell_length_b 6.3433
_cell_length_c 6.3433
_cell_angle_alpha 90.00
_cell_angle_beta 90.00
_cell_angle_gamma 90.00
_symmetry_space_group_name_H-M 'F m -3 m'
_symmetry_Int_Tables_number 225
_symmetry_space_group_name_Hall '-F 4 2 3'
loop_
_atom_site_label
_atom_site_type_symbol
_atom_site_fract_x
_atom_site_fract_y
_atom_site_fract_z
Li1 Li 0.2500 0.2500 0.2500
Os1 Os 0.0000 0.0000 0.0000
I1 I 0.0000 0.0000 0.5000
```

No. 5
DFT (PBE) results for a relaxed LiOs2I2 crystal.

Output
* spin magnetization: 0.00 μB per cell
* Fermi-level density of states: 9.3 states/eV/cell
* relative energy among the computed polymorphs: 20 kJ/mol of formula units

Geometry as CIF:
```
data_LiOs2I2
_chemical_formula_sum 'Li2 Os4 I4'
_cell_length_a 7.9162
_cell_length_b 7.9162
_cell_length_c 3.4173
_cell_angle_alpha 90.00
_cell_angle_beta 90.00
_cell_angle_gamma 90.00
_symmetry_space_group_name_H-M 'P 4/m b m'
_symmetry_Int_Tables_number 127
_symmetry_space_group_name_Hall '-P 4 2ab'
loop_
_atom_site_label
_atom_site_type_symbol
_atom_site_fract_x
_atom_site_fract_y
_atom_site_fract_z
Li1 Li 0.0000 0.0000 0.0000
Os1 Os 0.1083 0.3917 0.0000
I1 I 0.2067 0.7067 0.5000
```

No. 6
DFT (PBE) results for a relaxed Li3OsI crystal.

Output
* spin magnetization: 2.00 μB per cell
* Fermi-level density of states: 4.9 states/eV/cell
* relative energy among the computed polymorphs: 0 kJ/mol of formula units

Geometry as CIF:
```
data_Li3OsI
_chemical_formula_sum 'Li3 Os1 I1'
_cell_length_a 5.0023
_cell_length_b 5.0023
_cell_length_c 5.0023
_cell_angle_alpha 90.00
_cell_angle_beta 90.00
_cell_angle_gamma 90.00
_symmetry_space_group_name_H-M 'P m -3 m'
_symmetry_Int_Tables_number 221
_symmetry_space_group_name_Hall '-P 4 2 3'
loop_
_atom_site_label
_atom_site_type_symbol
_atom_site_fract_x
_atom_site_fract_y
_atom_site_fract_z
Li1 Li 0.0000 0.0000 0.5000
Os1 Os 0.0000 0.0000 0.0000
I1 I 0.5000 0.5000 0.5000
```

No. 7
DFT (PBE) results for a relaxed Li2OsI crystal.

Output
* spin magnetization: 4.79 μB per cell
* Fermi-level density of states: 11.4 states/eV/cell
* relative energy among the computed polymorphs: 0 kJ/mol of formula units

Geometry as CIF:
```
data_Li2OsI
_chemical_formula_sum 'Li8 Os4 I4'
_cell_length_a 7.5079
_cell_length_b 7.5079
_cell_length_c 5.4001
_cell_angle_alpha 90.00
_cell_angle_beta 90.00
_cell_angle_gamma 90.00
_symmetry_space_group_name_H-M 'I -4 2 d'
_symmetry_Int_Tables_number 122
_symmetry_space_group_name_Hall 'I -4 2bw'
loop_
_atom_site_label
_atom_site_type_symbol
_atom_site_fract_x
_atom_site_fract_y
_atom_site_fract_z
Li1 Li 0.2404 0.7500 0.1250
Os1 Os 0.0000 0.0000 0.0000
I1 I 0.0000 0.0000 0.5000
```

No. 8
DFT (PBE) results for a relaxed LiOsI2 crystal.

Output
* spin magnetization: 0.00 μB per cell
* Fermi-level density of states: 5.3 states/eV/cell
* relative energy among the computed polymorphs: 0 kJ/mol of formula units

Geometry as CIF:
```
data_LiOsI2
_chemical_formula_sum 'Li4 Os4 I8'
_cell_length_a 6.0967
_cell_length_b 6.0967
_cell_length_c 12.7146
_cell_angle_alpha 90.00
_cell_angle_beta 90.00
_cell_angle_gamma 90.00
_symmetry_space_group_name_H-M 'I -4 2 d'
_symmetry_Int_Tables_number 122
_symmetry_space_group_name_Hall 'I -4 2bw'
loop_
_atom_site_label
_atom_site_type_symbol
_atom_site_fract_x
_atom_site_fract_y
_atom_site_fract_z
Li1 Li 0.0000 0.0000 0.0000
Os1 Os 0.0000 0.0000 0.5000
I1 I 0.2262 0.2500 0.6250
```

No. 9
DFT (PBE) results for a relaxed LiOsPd2I crystal.

Output
* spin magnetization: 1.97 μB per cell
* Fermi-level density of states: 6.9 states/eV/cell
* total energy: -19.4 eV/f.u.

Geometry as CIF:
```
data_LiOsPd2I
_chemical_formula_sum 'Li1 Os1 Pd2 I1'
_cell_length_a 4.2507
_cell_length_b 4.2507
_cell_length_c 4.7661
_cell_angle_alpha 90.00
_cell_angle_beta 90.00
_cell_angle_gamma 90.00
_symmetry_space_group_name_H-M 'P 4/m m m'
_symmetry_Int_Tables_number 123
_symmetry_space_group_name_Hall '-P 4 2'
loop_
_atom_site_label
_atom_site_type_symbol
_atom_site_fract_x
_atom_site_fract_y
_atom_site_fract_z
Li1 Li 0.0000 0.0000 0.0000
Os1 Os 0.5000 0.5000 0.5000
Pd1 Pd 0.0000 0.5000 0.0000
I1 I 0.0000 0.0000 0.5000
```

No. 10
DFT (PBE) results for a relaxed Rb2LiOsI crystal.

Output
* spin magnetization: 0.78 μB per cell
* Fermi-level density of states: 5.3 states/eV/cell
* relative energy among the computed polymorphs: 96 kJ/mol of formula units

Geometry as CIF:
```
data_Rb2LiOsI
_chemical_formula_sum 'Rb2 Li1 Os1 I1'
_cell_length_a 6.9062
_cell_length_b 6.9062
_cell_length_c 4.9455
_cell_angle_alpha 90.00
_cell_angle_beta 90.00
_cell_angle_gamma 90.00
_symmetry_space_group_name_H-M 'P 4/m m m'
_symmetry_Int_Tables_number 123
_symmetry_space_group_name_Hall '-P 4 2'
loop_
_atom_site_label
_atom_site_type_symbol
_atom_site_fract_x
_atom_site_fract_y
_atom_site_fract_z
Rb1 Rb 0.0000 0.5000 0.0000
Li1 Li 0.0000 0.0000 0.5000
Os1 Os 0.5000 0.5000 0.0000
I1 I 0.5000 0.5000 0.5000
```

No. 11
DFT (PBE) results for a relaxed Rb2LiOsI crystal.

Output
* spin magnetization: 2.00 μB per cell
* Fermi-level density of states: 2.8 states/eV/cell
* relative energy among the computed polymorphs: 0 kJ/mol of formula units

Geometry as CIF:
```
data_Rb2LiOsI
_chemical_formula_sum 'Rb2 Li1 Os1 I1'
_cell_length_a 6.6183
_cell_length_b 6.6183
_cell_length_c 4.8847
_cell_angle_alpha 90.00
_cell_angle_beta 90.00
_cell_angle_gamma 90.00
_symmetry_space_group_name_H-M 'P 4/m m m'
_symmetry_Int_Tables_number 123
_symmetry_space_group_name_Hall '-P 4 2'
loop_
_atom_site_label
_atom_site_type_symbol
_atom_site_fract_x
_atom_site_fract_y
_atom_site_fract_z
Rb1 Rb 0.0000 0.5000 0.0000
Li1 Li 0.0000 0.0000 0.5000
Os1 Os 0.0000 0.0000 0.0000
I1 I 0.5000 0.5000 0.5000
```

No. 12
DFT (PBE) results for a relaxed LiOsSI2 crystal.

Output
* spin magnetization: 0.00 μB per cell
* Fermi-level density of states: 6.5 states/eV/cell
* total energy: -16.2 eV/f.u.

Geometry as CIF:
```
data_LiOsSI2
_chemical_formula_sum 'Li1 Os1 S1 I2'
_cell_length_a 5.1787
_cell_length_b 5.1787
_cell_length_c 5.0943
_cell_angle_alpha 90.00
_cell_angle_beta 90.00
_cell_angle_gamma 90.00
_symmetry_space_group_name_H-M 'P 4/m m m'
_symmetry_Int_Tables_number 123
_symmetry_space_group_name_Hall '-P 4 2'
loop_
_atom_site_label
_atom_site_type_symbol
_atom_site_fract_x
_atom_site_fract_y
_atom_site_fract_z
Li1 Li 0.0000 0.0000 0.0000
Os1 Os 0.0000 0.0000 0.5000
S1 S 0.5000 0.5000 0.0000
I1 I 0.0000 0.5000 0.5000
```